No. 1
# NbTlCl3

A relaxed NbTlCl3 crystal (GGA-PBE, Alexandria via LeMat-Bulk).

Properties
For the uncorrected energy, the calculation gives -4.624 eV/atom.

Cell and atoms, written as POSCAR:
```
NbTlCl3
1.0
-0.990 2.922 1.489
-7.684 -4.033 2.805
1.549 -3.751 8.389
Tl Cl Nb
2 6 2
Direct
0.917 0.344 0.398
0.417 0.717 0.614
0.917 0.999 0.315
0.417 0.669 0.309
0.417 0.062 0.698
0.917 0.392 0.704
0.417 0.230 0.022
0.917 0.831 0.991
0.417 0.945 0.124
0.917 0.116 0.889
```



No. 2
# Nb3TlCl

A relaxed Nb3TlCl crystal (GGA-PBE, Alexandria via LeMat-Bulk).

Properties
For the uncorrected energy, the calculation gives -6.294 eV/atom.

Cell and atoms, written as POSCAR:
```
Nb3TlCl
1.0
4.615 0.000 0.000
0.000 4.615 0.000
0.000 0.000 4.615
Nb Tl Cl
3 1 1
Direct
0.500 0.000 0.000
0.000 0.000 0.500
0.000 0.500 0.000
0.500 0.500 0.500
0.000 0.000 0.000
```